Material: TaTiGa2
Method: DFT, PBE
State: relaxed

Computed properties:
Formation enthalpy at 0 K: -94 kJ/mol of formula units
Mass density: 9.21 g cm⁻³
E: -53.557 eV/cell
Relative energy among the computed polymorphs: 63 meV per atom

Cell: 5.073 5.073 5.283 Å, 90.00 90.00 102.51°
Atoms (fractional coordinates):
Ta1 0.000 0.000 0.000
Ta2 0.000 0.000 0.500
Ti1 0.399 0.601 0.750
Ti2 0.601 0.399 0.250
Ga1 0.117 0.503 0.250
Ga2 0.497 0.883 0.250
Ga3 0.503 0.117 0.750
Ga4 0.883 0.497 0.750